## Al2NiAg2 (PBE)

Data for crystalline Al2NiAg2 at its relaxed geometry.

Lattice parameters (Å, degrees): 7.321 7.321 2.992 90.00 90.00 90.00
Fractional positions:
Al: 0.169 0.331 0.000
Al: 0.331 0.831 0.000
Al: 0.669 0.169 0.000
Al: 0.831 0.669 0.000
Ni: 0.000 0.000 0.500
Ni: 0.500 0.500 0.500
Ag: 0.135 0.635 0.500
Ag: 0.365 0.135 0.500
Ag: 0.635 0.865 0.500
Ag: 0.865 0.365 0.500

**Energy above the lowest structure with this stoichiometry**: 128 meV per atom
**Volume**: 16.04 A^3/atom
**DFT formation energy**: 0.15 eV per atom
**Size of the total moment**: 0.00 μB/atom
**Final energy**: -36.5 eV for the cell shown
**SG**: P4/mbm


## AlNiAg2 (PBE)

Data for crystalline AlNiAg2 at its relaxed geometry.

Lattice parameters (Å, degrees): 4.805 4.805 4.805 131.57 131.57 70.91
Fractional positions:
Al: 0.000 0.000 0.000
Ni: 0.500 0.500 0.000
Ag: 0.250 0.750 0.500
Ag: 0.750 0.250 0.500

**Volume**: 15.20 A^3/atom
**DFT formation energy**: -0.02 eV per atom
**Size of the total moment**: 0.00 μB/atom
**Final energy**: -15.3 eV for the cell shown
**SG**: I4/mmm


## Al2NiAg (PBE)

Data for crystalline Al2NiAg at its relaxed geometry.

Lattice parameters (Å, degrees): 3.002 3.540 5.538 90.00 90.00 90.00
Fractional positions:
Al: 0.000 0.000 0.000
Al: 0.500 0.500 0.288
Ni: 0.000 0.000 0.454
Ag: 0.500 0.500 0.760

**Energy above the lowest structure with this stoichiometry**: 128 meV per atom
**Volume**: 14.71 A^3/atom
**DFT formation energy**: -0.22 eV per atom
**Size of the total moment**: 0.00 μB/atom
**Final energy**: -17.0 eV for the cell shown
**SG**: Pmm2


## Al3Ni2Ag (PBE)

Data for crystalline Al3Ni2Ag at its relaxed geometry.

Lattice parameters (Å, degrees): 2.920 2.920 9.555 90.00 90.00 90.00
Fractional positions:
Al: 0.000 0.000 0.000
Al: 0.000 0.000 0.296
Al: 0.000 0.000 0.704
Ni: 0.500 0.500 0.152
Ni: 0.500 0.500 0.848
Ag: 0.500 0.500 0.500

**Volume**: 13.58 A^3/atom
**DFT formation energy**: -0.46 eV per atom
**Size of the total moment**: 0.00 μB/atom
**Final energy**: -28.4 eV for the cell shown
**SG**: P4/mmm